Entry 1:
Compound: PbSeN2
Source: Alexandria
Functional: PBE-GGA
Structure: optimized geometry

The structure in POSCAR format:
```
PbSeN2
1.0
5.357 0.000 0.000
0.000 5.357 0.000
2.678 2.678 5.159
Pb Se N
2 2 4
Direct
0.000 0.000 0.000
0.750 0.250 0.500
0.500 0.500 0.000
0.250 0.750 0.500
0.545 0.125 0.250
0.205 0.625 0.250
0.375 0.455 0.750
0.875 0.795 0.750
```

Properties
The value obtained for the total energy is -38.49 eV/cell. Its calculated volume is 148.0 Å³ per cell. The calculation puts the energy above the lowest structure with this stoichiometry at 1358 meV/atom.

***

Entry 2:
Compound: La2PmPrTh
Source: Alexandria
Functional: PBE-GGA
Structure: optimized geometry

The structure in POSCAR format:
```
La2PmPrTh
1.0
8.505 0.000 0.000
0.000 6.470 0.376
0.000 -1.818 6.459
La Pm Pr Th
4 2 2 2
Direct
0.675 0.716 0.667
0.675 0.284 0.833
0.325 0.716 0.167
0.325 0.284 0.333
0.658 0.000 0.250
0.342 0.000 0.750
0.100 0.500 0.750
0.900 0.500 0.250
0.000 0.000 0.000
0.000 0.000 0.500
```

Properties
The value obtained for the total energy is -51.55 eV/cell. The formation energy comes out at 19.9 kJ per mole of atoms. Its calculated volume is 361.3 Å³ per cell.

***

Entry 3:
Compound: RbSrTa
Source: Alexandria
Functional: PBE-GGA
Structure: optimized geometry

The structure in POSCAR format:
```
RbSrTa
1.0
-0.391 -3.612 0.386
4.411 1.161 -1.592
2.191 0.631 17.356
Sr Rb Ta
2 2 2
Direct
0.552 0.054 0.981
0.431 0.972 0.279
0.962 0.645 0.507
0.182 0.359 0.754
0.851 0.722 0.115
0.133 0.305 0.145
```

Properties
The value obtained for the total energy is -25.45 eV/cell. The formation energy comes out at 57.2 kJ per mole of atoms. Its calculated volume is 281.0 Å³ per cell. The calculation puts the energy above the lowest structure with this stoichiometry at 133 meV/atom.

***

Entry 4:
Compound: ScPaReRh
Source: Alexandria
Functional: PBE-GGA
Structure: optimized geometry

The structure in POSCAR format:
```
ScPaReRh
1.0
-3.844 0.000 -2.796
-3.669 -2.851 1.004
-4.085 1.849 1.577
Sc Re Pa Rh
1 1 1 1
Direct
0.250 0.250 0.250
0.500 0.500 0.500
0.750 0.750 0.750
0.000 0.000 0.000
```

Properties
The value obtained for the total energy is -37.42 eV/cell. The formation energy comes out at -43.2 kJ per mole of atoms. Its calculated volume is 75.9 Å³ per cell.

***

Entry 5:
Compound: Hf6MnIr
Source: Alexandria
Functional: PBE-GGA
Structure: optimized geometry

The structure in POSCAR format:
```
Hf6MnIr
1.0
6.006 0.641 0.000
2.095 5.664 0.000
1.047 2.832 5.164
Hf Mn Ir
6 1 1
Direct
0.756 0.439 0.605
0.756 0.044 0.395
0.244 0.956 0.605
0.244 0.561 0.395
0.759 0.756 0.000
0.241 0.244 0.000
0.000 0.000 0.000
0.500 0.500 0.000
```

Properties
The value obtained for the total energy is -77.14 eV/cell. The formation energy comes out at 7.3 kJ per mole of atoms. Its calculated volume is 168.7 Å³ per cell.

***

Entry 6:
Compound: ErBe3Ga3
Source: Alexandria
Functional: PBE-GGA
Structure: optimized geometry

The structure in POSCAR format:
```
ErBe3Ga3
1.0
-5.139 1.611 -3.200
-3.292 0.084 5.329
1.413 6.053 0.778
Be Ga Er
6 6 2
Direct
0.000 0.250 0.500
0.000 0.750 0.500
0.500 0.000 0.750
0.750 0.500 0.000
0.500 0.000 0.250
0.250 0.500 0.000
0.250 0.000 0.500
0.000 0.500 0.250
0.500 0.750 0.000
0.750 0.000 0.500
0.000 0.500 0.750
0.500 0.250 0.000
0.500 0.500 0.500
0.000 0.000 0.000
```

Properties
The value obtained for the total energy is -44.59 eV/cell. The formation energy comes out at 34.8 kJ per mole of atoms. Its calculated volume is 245.8 Å³ per cell.

***

Number 1: total moment 0.000 Bohr magnetons per cell. Number 2: total moment 0.000 Bohr magnetons per cell. Number 3: total moment 0.000 Bohr magnetons per cell. Number 4: total moment 0.000 Bohr magnetons per cell. Number 5: total moment 0.000 Bohr magnetons per cell. Number 6: total moment 0.000 Bohr magnetons per cell.